An optimized crystal structure of ErHfU2P4. Source: Alexandria via LeMat-Bulk, functional PBE.

abc: 6.687 3.856 6.763
angles: 90.00 109.13 90.00
Space group P2/m (No. 10)
One atom of each set of equivalent atoms:
Er 0.000 0.000 0.000
Hf 0.500 0.500 0.000
U 0.000 0.500 0.500
U 0.500 0.000 0.500
P 0.256 0.500 0.245
P 0.261 0.000 0.760

## Properties
Energy relative to the elements (eV/atom): -1.223
Theoretical density (g/cm3): 9.53